Below is crystalline Sr4IN2 at its relaxed geometry, with properties calculated at the GGA-PBE level.

Calculated values
Energy above the lowest structure with this stoichiometry   0 meV/atom

Cell: 3.9556 3.9556 15.0463 Å, 82.45 82.45 60.00°
Fractional coordinates of all 7 atoms:
Sr1 0.8811 0.8811 0.3566
Sr2 0.2749 0.2749 0.1754
Sr3 0.1189 0.1189 0.6434
Sr4 0.7251 0.7251 0.8246
N1 0.4219 0.4219 0.7344
N2 0.5781 0.5781 0.2656
I1 0.0000 0.0000 0.0000

---

Below is crystalline Tb5Bi2Ir2 at its relaxed geometry, with properties calculated at the GGA-PBE level.

Calculated values
Formation energy   -0.796 eV/atom

Cell: 7.8582 7.9719 8.7717 Å, 117.03 90.00 90.00°
Fractional coordinates of all 18 atoms:
Ir1 0.1333 0.6347 0.0000
Ir2 0.3667 0.1347 0.0000
Ir3 0.8667 0.3653 0.0000
Ir4 0.6333 0.8653 0.0000
Tb1 0.8383 0.5488 0.7674
Tb2 0.1617 0.2186 0.7674
Tb3 0.3383 0.9512 0.2326
Tb4 0.5000 0.5000 0.0000
Tb5 0.6617 0.0488 0.7674
Tb6 0.3383 0.7186 0.7674
Tb7 0.1617 0.4512 0.2326
Tb8 0.0000 0.0000 0.0000
Tb9 0.6617 0.2814 0.2326
Tb10 0.8383 0.7814 0.2326
Bi1 0.0000 0.2098 0.4197
Bi2 0.5000 0.7098 0.4197
Bi3 0.5000 0.2902 0.5803
Bi4 0.0000 0.7902 0.5803

---

Below is crystalline BeIn2AgSn at its relaxed geometry, with properties calculated at the GGA-PBE level.

Calculated values
Energy above the lowest structure with this stoichiometry   488 meV/atom
Formation energy   0.816 eV/atom

Cell: 5.2991 5.3700 5.2991 Å, 90.00 90.00 90.00°
Fractional coordinates of all 5 atoms:
In1 0.0000 0.0000 0.5000
In2 0.5000 0.0000 0.0000
Ag1 0.0000 0.0000 0.0000
Be1 0.5000 0.5000 0.5000
Sn1 0.0000 0.5000 0.0000

---

Below is crystalline DyAl4Pd2 at its relaxed geometry, with properties calculated at the GGA-PBE level.

Calculated values
Energy above the lowest structure with this stoichiometry   120 meV/atom
Formation energy   -0.576 eV/atom

Cell: 5.5234 5.5234 5.2824 Å, 60.79 60.79 73.28°
Fractional coordinates of all 7 atoms:
Al1 0.3940 0.9876 0.3228
Al2 0.0124 0.6060 0.6772
Al3 0.9876 0.3940 0.3228
Al4 0.6060 0.0124 0.6772
Pd1 0.5560 0.5560 0.1923
Pd2 0.4440 0.4440 0.8077
Dy1 0.0000 0.0000 0.0000

---

Below is crystalline LiNi2Pd5 at its relaxed geometry, with properties calculated at the GGA-PBE level.

Calculated values
Formation energy   -0.064 eV/atom

Cell: 5.2762 5.2763 5.2762 Å, 106.85 106.85 114.85°
Fractional coordinates of all 8 atoms:
Ni1 0.2780 0.7784 0.5001
Ni2 0.7779 0.2783 0.4999
Pd1 0.7775 0.7779 0.4997
Pd2 0.2776 0.2771 0.0000
Pd3 0.7779 0.2779 0.0000
Pd4 0.2778 0.2782 0.5003
Pd5 0.2781 0.7774 0.0000
Li1 0.7781 0.7778 0.0000

---

Below is crystalline HoMgAs2 at its relaxed geometry, with properties calculated at the GGA-PBE level.

Calculated values
Energy above the lowest structure with this stoichiometry   130 meV/atom
Formation energy   -0.721 eV/atom

Cell: 3.7094 4.7531 4.7531 Å, 90.00 90.00 90.00°
Fractional coordinates of all 4 atoms:
As1 0.0000 0.5000 0.0000
As2 0.0000 0.0000 0.5000
Ho1 0.5000 0.0000 0.0000
Mg1 0.5000 0.5000 0.5000

---

Below is crystalline Mg2CdNi at its relaxed geometry, with properties calculated at the GGA-PBE level.

Calculated values
Formation energy   -0.055 eV/atom

Cell: 3.2615 3.2597 6.7740 Å, 90.00 90.00 90.00°
Fractional coordinates of all 4 atoms:
Cd1 0.5000 0.5000 0.7165
Mg1 0.5000 0.5000 0.2965
Mg2 0.0000 0.0000 0.9966
Ni1 0.0000 0.0000 0.4904

---

Below is crystalline PSNF2 at its relaxed geometry, with properties calculated at the GGA-PBE level.

Calculated values
Energy above the lowest structure with this stoichiometry   0 meV/atom

Cell: 3.7167 3.7167 4.3194 Å, 90.00 90.00 90.00°
Fractional coordinates of all 5 atoms:
S1 0.5000 0.5000 0.5000
P1 0.0000 0.0000 0.0000
N1 0.0000 0.0000 0.5000
F1 0.0000 0.5000 0.0000
F2 0.5000 0.0000 0.0000

---

Below is crystalline Y2AsCl at its relaxed geometry, with properties calculated at the GGA-PBE level.

Calculated values
VASP energy   -20.4 eV/cell

Cell: 5.1700 5.1700 5.1700 Å, 60.00 60.00 60.00°
Fractional coordinates of all 4 atoms:
Y1 0.0000 0.0000 0.0000
Y2 0.2500 0.2500 0.2500
Cl1 0.7500 0.7500 0.7500
As1 0.5000 0.5000 0.5000

---

Below is crystalline SrCd2SnRh at its relaxed geometry, with properties calculated at the GGA-PBE level.

Calculated values
Formation energy   -0.285 eV/atom

Cell: 5.2366 5.2366 5.0697 Å, 90.00 90.00 90.00°
Fractional coordinates of all 5 atoms:
Sr1 0.5000 0.5000 0.5000
Cd1 0.0000 0.5000 0.0000
Cd2 0.5000 0.0000 0.0000
Rh1 0.0000 0.0000 0.0000
Sn1 0.0000 0.0000 0.5000

---

Below is crystalline TbEr6Mg2 at its relaxed geometry, with properties calculated at the GGA-PBE level.

Calculated values
Formation energy   0.036 eV/atom

Cell: 8.7754 8.6766 8.6766 Å, 66.00 65.78 65.78°
Fractional coordinates of all 18 atoms:
Er1 0.9243 0.9125 0.4126
Er2 0.5757 0.5874 0.0875
Er3 0.1753 0.4899 0.3307
Er4 0.6753 0.9897 0.8310
Er5 0.8246 0.1690 0.0103
Er6 0.8247 0.5101 0.6693
Er7 0.1754 0.8310 0.9897
Er8 0.6752 0.3307 0.4899
Er9 0.0757 0.0875 0.5874
Er10 0.3247 0.0103 0.1690
Er11 0.4243 0.4126 0.9125
Er12 0.3248 0.6693 0.5101
Mg1 0.0001 0.6546 0.8457
Mg2 0.4999 0.1544 0.3454
Mg3 0.9999 0.3454 0.1543
Mg4 0.5001 0.8456 0.6546
Tb1 0.7500 0.7499 0.2501
Tb2 0.2500 0.2501 0.7499

---

Below is crystalline CoOsBr at its relaxed geometry, with properties calculated at the GGA-PBE level.

Calculated values
Energy above the lowest structure with this stoichiometry   672 meV/atom

Cell: 6.0661 6.0661 6.0661 Å, 152.03 152.03 39.97°
Fractional coordinates of all 3 atoms:
Os1 0.6847 0.6847 0.0000
Co1 0.3054 0.3054 0.0000
Br1 0.0099 0.0099 0.0000

---

Below is crystalline TmTiI at its relaxed geometry, with properties calculated at the GGA-PBE level.

Calculated values
VASP energy   -28.3 eV/cell

Cell: 3.4813 5.8519 12.0388 Å, 124.89 125.20 72.76°
Fractional coordinates of all 6 atoms:
Ti1 0.1771 0.7713 0.4066
Ti2 0.8229 0.2287 0.5934
Tm1 0.7659 0.9869 0.7547
Tm2 0.2341 0.0131 0.2453
I1 0.3596 0.3730 0.1478
I2 0.6404 0.6270 0.8522

---

Below is crystalline Cs3SbF at its relaxed geometry, with properties calculated at the GGA-PBE level.

Calculated values
Energy above the lowest structure with this stoichiometry   0 meV/atom

Cell: 5.9794 5.9794 5.9794 Å, 90.00 90.00 90.00°
Fractional coordinates of all 5 atoms:
Cs1 0.0000 0.0000 0.5000
Cs2 0.5000 0.0000 0.0000
Cs3 0.0000 0.5000 0.0000
F1 0.0000 0.0000 0.0000
Sb1 0.5000 0.5000 0.5000

---

Below is crystalline Ni2AsIr at its relaxed geometry, with properties calculated at the GGA-PBE level.

Calculated values
Formation energy   -0.005 eV/atom

Cell: 4.3529 4.3529 4.4784 Å, 80.31 80.31 38.56°
Fractional coordinates of all 4 atoms:
Ni1 0.0023 0.0023 0.9668
Ni2 0.7455 0.7455 0.7638
Ir1 0.2526 0.2526 0.2515
As1 0.4995 0.4995 0.5178

---

Below is crystalline Mn4TcPt at its relaxed geometry, with properties calculated at the GGA-PBE level.

Calculated values
Formation energy   -0.043 eV/atom

Cell: 4.7026 4.7026 4.7026 Å, 60.00 60.00 60.00°
Fractional coordinates of all 6 atoms:
Mn1 0.3763 0.3763 0.3763
Mn2 0.8712 0.3763 0.3763
Mn3 0.3763 0.8712 0.3763
Mn4 0.3763 0.3763 0.8712
Tc1 0.0000 0.0000 0.0000
Pt1 0.7500 0.7500 0.7500

---

Below is crystalline NaSr2Tm at its relaxed geometry, with properties calculated at the GGA-PBE level.

Calculated values
Energy above the lowest structure with this stoichiometry   0 meV/atom
Formation energy   0.159 eV/atom

Cell: 3.9036 3.9036 11.1622 Å, 90.00 90.00 90.00°
Fractional coordinates of all 4 atoms:
Tm1 0.5000 0.5000 0.0000
Sr1 0.0000 0.0000 0.2406
Sr2 0.0000 0.0000 0.7594
Na1 0.5000 0.5000 0.5000

---

Below is crystalline La2Zn5In at its relaxed geometry, with properties calculated at the GGA-PBE level.

Calculated values
Formation energy   -0.371 eV/atom

Cell: 4.5852 8.7245 9.1771 Å, 90.00 90.00 105.23°
Fractional coordinates of all 16 atoms:
Zn1 0.3995 0.7989 0.2500
Zn2 0.8159 0.6319 0.3920
Zn3 0.3452 0.6905 0.9856
Zn4 0.6548 0.3095 0.4856
Zn5 0.8159 0.6319 0.1080
Zn6 0.6005 0.2011 0.7500
Zn7 0.1841 0.3681 0.8920
Zn8 0.1841 0.3681 0.6080
Zn9 0.3452 0.6905 0.5144
Zn10 0.6548 0.3095 0.0144
La1 0.7901 0.5802 0.7500
La2 0.0000 0.0000 0.0000
La3 0.2099 0.4198 0.2500
La4 0.0000 0.0000 0.5000
In1 0.5587 0.1174 0.2500
In2 0.4413 0.8826 0.7500

---

Below is crystalline Dy3YEr at its relaxed geometry, with properties calculated at the GGA-PBE level.

Calculated values
Energy above the lowest structure with this stoichiometry   0 meV/atom
Formation energy   0.003 eV/atom

Cell: 9.5906 5.6117 6.2746 Å, 90.00 70.88 90.00°
Fractional coordinates of all 10 atoms:
Dy1 0.7014 0.4500 0.5694
Dy2 0.9004 0.4500 0.9668
Dy3 0.2986 0.9500 0.4306
Dy4 0.0997 0.9500 0.0332
Dy5 0.5003 0.9500 0.8337
Dy6 0.4996 0.4500 0.1664
Y1 0.6998 0.9500 0.2348
Y2 0.3002 0.4500 0.7652
Er1 0.0985 0.4500 0.3664
Er2 0.9016 0.9500 0.6336

---

Below is crystalline ZrCoAu at its relaxed geometry, with properties calculated at the GGA-PBE level.

Calculated values
Formation energy   -0.331 eV/atom

Cell: 13.2491 4.8984 3.2101 Å, 90.00 90.00 90.00°
Fractional coordinates of all 12 atoms:
Co1 0.5000 0.2653 0.0000
Co2 0.0000 0.2347 0.0000
Co3 0.0000 0.7653 0.0000
Co4 0.5000 0.7347 0.0000
Au1 0.3170 0.5000 0.0000
Au2 0.8170 0.0000 0.0000
Au3 0.1830 0.0000 0.0000
Au4 0.6830 0.5000 0.0000
Zr1 0.8793 0.5000 0.5000
Zr2 0.3793 0.0000 0.5000
Zr3 0.1207 0.5000 0.5000
Zr4 0.6207 0.0000 0.5000

---

Number 1: total magnetic moment 0.0 Bohr magnetons per cell. Number 2: total magnetic moment 0.0 Bohr magnetons per cell. Number 3: total magnetic moment 0.0 Bohr magnetons per cell. Number 4: total magnetic moment 0.0 Bohr magnetons per cell. Number 5: total magnetic moment 1.9 Bohr magnetons per cell. Number 6: total magnetic moment 0.0 Bohr magnetons per cell. Number 7: total magnetic moment 0.0 Bohr magnetons per cell. Number 8: total magnetic moment 0.0 Bohr magnetons per cell. Number 9: total magnetic moment 1.9 Bohr magnetons per cell. Number 10: total magnetic moment 0.0 Bohr magnetons per cell. Number 11: total magnetic moment 0.0 Bohr magnetons per cell. Number 12: total magnetic moment 1.6 Bohr magnetons per cell. Number 13: total magnetic moment 0.0 Bohr magnetons per cell. Number 14: total magnetic moment 1.0 Bohr magnetons per cell. Number 15: total magnetic moment 0.0 Bohr magnetons per cell. Number 16: total magnetic moment 3.1 Bohr magnetons per cell. Number 17: total magnetic moment 0.7 Bohr magnetons per cell. Number 18: total magnetic moment 0.0 Bohr magnetons per cell. Number 19: total magnetic moment 0.0 Bohr magnetons per cell. Number 20: total magnetic moment 0.3 Bohr magnetons per cell.